[1]
VASP calculation (PBE-GGA) on a relaxed structure of MgNpFe4.

## Properties
* energy of formation: 0.088 eV/atom

Unit cell a=4.9824 b=4.9824 c=4.9824 alpha=60.00 beta=60.00 gamma=60.00
Last column: nearest neighbours and their distance in Å.
Positions (direct):
Np (0.2500, 0.2500, 0.2500)  12 Fe 2.92, 4 Mg 3.05
Mg (0.0000, 0.0000, 0.0000)  12 Fe 2.92, 4 Np 3.05
Fe (0.6256, 0.6256, 0.1231)  6 Fe 2.48-2.50
Fe (0.6256, 0.1231, 0.6256)  6 Fe 2.48-2.50
Fe (0.6256, 0.6256, 0.6256)  6 Fe 2.48-2.50
Fe (0.1231, 0.6256, 0.6256)  6 Fe 2.48-2.50

[2]
VASP calculation (PBE-GGA) on a relaxed structure of NaOsSe2.

## Properties
* energy relative to the elements, uncorrected: 950 meV/atom

Unit cell a=4.6814 b=4.6814 c=4.6814 alpha=60.00 beta=60.00 gamma=60.00
Last column: nearest neighbours and their distance in Å.
Positions (direct):
Na (0.5000, 0.5000, 0.5000)  4 Se 2.87, 4 Os 2.87
Os (0.7500, 0.7500, 0.7500)  4 Na 2.87, 4 Se 2.87
Se (0.0000, 0.0000, 0.0000)  4 Os 2.87, 4 Se 2.87
Se (0.2500, 0.2500, 0.2500)  4 Se 2.87, 4 Na 2.87

[3]
VASP calculation (PBE-GGA) on a relaxed structure of CaAc3S.

## Properties
* energy relative to the elements, uncorrected: -703 meV/atom

Unit cell a=5.8900 b=5.8900 c=5.8900 alpha=90.00 beta=90.00 gamma=90.00
Last column: nearest neighbours and their distance in Å.
Positions (direct):
S (0.0000, 0.0000, 0.0000)  6 Ac 2.95
Ac (0.0000, 0.5000, 0.0000)  2 S 2.95
Ac (0.0000, 0.0000, 0.5000)  2 S 2.95
Ac (0.5000, 0.0000, 0.0000)  2 S 2.95
Ca (0.5000, 0.5000, 0.5000)  12 Ac 4.16

[4]
VASP calculation (PBE-GGA) on a relaxed structure of NaTl2Cd.

## Properties
* energy relative to the lowest polymorph listed for this composition: 11 meV per atom
* energy of formation: -0.065 eV/atom

Unit cell a=4.3375 b=5.0368 c=5.0368 alpha=90.00 beta=90.00 gamma=90.00
Last column: nearest neighbours and their distance in Å.
Positions (direct):
Na (0.5000, 0.5000, 0.5000)  8 Tl 3.32, 4 Cd 3.56
Tl (0.0000, 0.0000, 0.5000)  4 Na 3.32, 4 Cd 3.32, 4 Tl 3.56
Tl (0.0000, 0.5000, 0.0000)  4 Cd 3.32, 4 Na 3.32, 4 Tl 3.56
Cd (0.5000, 0.0000, 0.0000)  8 Tl 3.32, 4 Na 3.56

[5]
VASP calculation (PBE-GGA) on a relaxed structure of SrLiFe.

## Properties
* energy relative to the lowest polymorph listed for this composition: 0 meV per atom
* energy of formation: 0.574 eV/atom

Unit cell a=6.1749 b=6.1746 c=3.5688 alpha=73.21 beta=73.20 gamma=33.59
Last column: nearest neighbours and their distance in Å.
Positions (direct):
Fe (0.9664, 0.9664, 0.0336)  4 Li 2.72-2.73
Li (0.3752, 0.3752, 0.6248)  4 Fe 2.72-2.73
Sr (0.6584, 0.6584, 0.3416)  5 Li 3.19-3.51, 5 Fe 3.32-3.47, 4 Sr 3.57

[6]
VASP calculation (PBE-GGA) on a relaxed structure of Tm8Sc3.

## Properties
* energy relative to the lowest polymorph listed for this composition: 0 meV per atom
* energy of formation: 0.138 eV/atom

Unit cell a=5.3391 b=5.3391 c=12.9244 alpha=78.08 beta=78.08 gamma=60.00
Last column: nearest neighbours and their distance in Å.
Positions (direct):
Tm (0.1862, 0.1862, 0.4414)  6 Tm 3.20-3.42
Tm (0.2856, 0.2856, 0.1433)  4 Sc 3.10-3.24, 3 Tm 3.46
Tm (0.7144, 0.7144, 0.8567)  4 Sc 3.10-3.24, 3 Tm 3.46
Tm (0.8138, 0.8138, 0.5586)  6 Tm 3.20-3.42
Tm (0.5422, 0.5422, 0.3733)  7 Tm 3.18-3.35, 1 Sc 3.25
Tm (0.0897, 0.0897, 0.7308)  7 Tm 3.35-3.63, 4 Sc 3.38-3.64
Tm (0.9103, 0.9103, 0.2692)  7 Tm 3.35-3.63, 4 Sc 3.38-3.64
Tm (0.4578, 0.4578, 0.6267)  7 Tm 3.18-3.35, 1 Sc 3.25
Sc (0.3716, 0.3716, 0.8853)  5 Tm 3.10-3.25, 3 Sc 3.40
Sc (0.6284, 0.6284, 0.1147)  5 Tm 3.10-3.25, 3 Sc 3.40
Sc (0.0000, 0.0000, 0.0000)  8 Tm 3.38-3.57, 6 Sc 3.40

[7]
VASP calculation (PBE-GGA) on a relaxed structure of ErTh4As5.

## Properties
* energy of formation: -1.411 eV/atom

Unit cell a=5.9811 b=7.3130 c=7.3130 alpha=80.37 beta=65.86 gamma=65.86
Last column: nearest neighbours and their distance in Å.
Positions (direct):
Er (0.0013, 0.0000, 0.0000)  6 As 2.92-2.99
Th (0.4022, 0.3993, 0.7983)  6 As 2.99-3.03
Th (0.8015, 0.7983, 0.6007)  6 As 2.99-3.03
Th (0.2005, 0.2017, 0.3993)  6 As 2.99-3.03
Th (0.5998, 0.6007, 0.2017)  6 As 2.99-3.03
As (0.9023, 0.3924, 0.8050)  1 Er 2.92, 5 Th 2.99-3.03
As (0.2947, 0.8050, 0.6076)  1 Er 2.92, 5 Th 2.99-3.03
As (0.7073, 0.1950, 0.3924)  1 Er 2.92, 5 Th 2.99-3.03
As (0.0997, 0.6076, 0.1950)  1 Er 2.92, 5 Th 2.99-3.03
As (0.5013, 0.0000, 0.0000)  4 Th 2.99, 2 Er 2.99

[8]
VASP calculation (PBE-GGA) on a relaxed structure of Y2Th3Ni2.

## Properties
* energy of formation: -0.254 eV/atom

Unit cell a=3.7212 b=6.1553 c=9.0415 alpha=69.35 beta=78.12 gamma=72.41
Last column: nearest neighbours and their distance in Å.
Positions (direct):
Y (0.1667, 0.4712, 0.1954)  2 Ni 2.94
Y (0.8333, 0.5288, 0.8046)  2 Ni 2.94
Th (0.5000, 0.0000, 0.0000)  4 Ni 2.74
Th (0.3818, 0.8033, 0.4331)  2 Ni 2.84
Th (0.6182, 0.1967, 0.5669)  2 Ni 2.84
Ni (0.1417, 0.9220, 0.7945)  4 Th 2.74-2.84, 2 Y 2.94
Ni (0.8583, 0.0780, 0.2055)  4 Th 2.74-2.84, 2 Y 2.94

[9]
VASP calculation (PBE-GGA) on a relaxed structure of Ac8Bi3Te4P.

## Properties
* energy relative to the elements, uncorrected: -1325 meV/atom

Unit cell a=9.5319 b=9.5135 c=9.5308 alpha=120.06 beta=120.00 gamma=90.00
Last column: nearest neighbours and their distance in Å.
Positions (direct):
Ac (0.2356, 0.7348, 0.9992)  1 P 3.17, 2 Bi 3.37, 2 Te 3.38
Ac (0.2358, 0.7350, 0.4716)  1 P 3.18, 2 Bi 3.37, 2 Te 3.38
Ac (0.2504, 0.2513, 0.5009)  3 Bi 3.36, 3 Te 3.37
Ac (0.7637, 0.7348, 0.9992)  1 P 3.17, 2 Bi 3.37, 2 Te 3.38
Ac (0.2363, 0.2652, 0.0008)  1 P 3.17, 2 Bi 3.37, 2 Te 3.38
Ac (0.7496, 0.7487, 0.4991)  3 Bi 3.36, 3 Te 3.37
Ac (0.7642, 0.2650, 0.5284)  1 P 3.18, 2 Bi 3.37, 2 Te 3.38
Ac (0.7644, 0.2652, 0.0008)  1 P 3.17, 2 Bi 3.37, 2 Te 3.38
Bi (0.5000, 0.5000, 0.0000)  6 Ac 3.36-3.37
Bi (0.5000, 0.5000, 0.5000)  6 Ac 3.36-3.37
Bi (0.0000, 0.5000, 0.5000)  6 Ac 3.36-3.37
Te (0.5000, 0.0000, 0.0000)  6 Ac 3.56
Te (0.5000, 0.0000, 0.5000)  6 Ac 3.37-3.38
Te (0.0000, 0.0000, 0.0000)  6 Ac 3.37-3.38
Te (0.0000, 0.0000, 0.5000)  6 Ac 3.37-3.38
P (0.0000, 0.5000, 0.0000)  6 Ac 3.17-3.18

[10]
VASP calculation (PBE-GGA) on a relaxed structure of Pm4Si3Os.

## Properties
* energy relative to the elements, uncorrected: -602 meV/atom

Unit cell a=4.3788 b=3.9405 c=10.9539 alpha=90.00 beta=90.00 gamma=90.00
Last column: nearest neighbours and their distance in Å.
Positions (direct):
Pm (0.5000, 0.5000, 0.3551)  6 Si 3.07-3.23, 1 Os 3.15
Pm (0.0000, 0.5000, 0.8593)  5 Si 3.06-3.15, 2 Os 3.16
Pm (0.0000, 0.0000, 0.1363)  4 Os 3.04, 3 Si 3.11-3.25
Pm (0.5000, 0.0000, 0.6425)  7 Si 3.04-3.19
Si (0.0000, 0.5000, 0.5721)  2 Si 2.49
Si (0.0000, 0.0000, 0.4334)  2 Si 2.49
Si (0.5000, 0.0000, 0.9341)  2 Os 2.45
Os (0.5000, 0.5000, 0.0671)  2 Si 2.45

[11]
VASP calculation (PBE-GGA) on a relaxed structure of ZrTeMoN2.

## Properties
* energy relative to the lowest polymorph listed for this composition: 432 meV per atom
* energy relative to the elements, uncorrected: 831 meV/atom

Unit cell a=4.1623 b=4.1623 c=6.0070 alpha=90.00 beta=90.00 gamma=90.00
Last column: nearest neighbours and their distance in Å.
Positions (direct):
Mo (0.5000, 0.5000, 0.5000)  4 Te 2.94
Te (0.0000, 0.0000, 0.5000)  4 Mo 2.94, 2 Zr 3.00
Zr (0.0000, 0.0000, 0.0000)  4 N 2.08
N (0.0000, 0.5000, 0.0000)  2 Zr 2.08
N (0.5000, 0.0000, 0.0000)  2 Zr 2.08

[12]
VASP calculation (PBE-GGA) on a relaxed structure of La2ZrHg.

## Properties
* energy of formation: -0.114 eV/atom

Unit cell a=3.5461 b=3.5461 c=9.3779 alpha=90.00 beta=90.00 gamma=90.00
Last column: nearest neighbours and their distance in Å.
Positions (direct):
Hg (0.5000, 0.5000, 0.7500)  8 La 3.39, 4 Hg 3.55
La (0.0000, 0.0000, 0.9939)  4 Hg 3.39, 4 Zr 3.47, 4 La 3.55
La (0.0000, 0.0000, 0.5061)  4 Hg 3.39, 4 Zr 3.47, 4 La 3.55
Zr (0.5000, 0.5000, 0.2500)  8 La 3.47, 4 Zr 3.55

no.,energy (eV per atom)
1,-7.976
2,-3.930
3,-4.393
4,-1.807
5,-3.446
6,-4.841
7,-7.160
8,-6.933
9,-5.231
10,-6.414
11,-7.004
12,-4.791